The following is a DFT calculation (GGA-PBE) of an optimized crystal structure of TaTlSb2.

Cell lengths 5.9423, 5.9423, 5.9423 Å; angles 137.08, 137.08, 62.31 degrees
Fractional positions:
Ta  0.0000  0.0000  0.0000
Tl  0.2500  0.7500  0.5000
Sb  0.5000  0.5000  0.0000
Sb  0.7500  0.2500  0.5000

Results
Spin magnetization: 0.000 Bohr magnetons per cell
Excess energy over the best structure of this formula in the dataset: 555 meV per atom
Space-group type: I-4m2
Formation energy (no corrections): 606 meV per atom
DOS(E_F): 3.5 states/eV/cell

The following is a DFT calculation (GGA-PBE) of an optimized crystal structure of TaTlSb2.

Cell lengths 10.8287, 10.8287, 10.8287 Å; angles 17.98, 17.98, 17.98 degrees
Fractional positions:
Ta  0.0000  0.0000  0.0000
Tl  0.5000  0.5000  0.5000
Sb  0.2673  0.2673  0.2673
Sb  0.7327  0.7327  0.7327

Results
Spin magnetization: 0.000 Bohr magnetons per cell
Excess energy over the best structure of this formula in the dataset: 25 meV per atom
Space-group type: R-3m
Formation energy (no corrections): 77 meV per atom
DOS(E_F): 3.6 states/eV/cell

The following is a DFT calculation (GGA-PBE) of an optimized crystal structure of TaTl2Sb2.

Cell lengths 9.4256, 9.4256, 9.4256 Å; angles 155.78, 155.78, 34.52 degrees
Fractional positions:
Ta  0.0000  0.0000  0.0000
Tl  0.2500  0.7500  0.5000
Tl  0.7500  0.2500  0.5000
Sb  0.4186  0.4186  0.0000
Sb  0.5814  0.5814  0.0000

Results
Spin magnetization: 0.602 Bohr magnetons per cell
Space-group type: I4/mmm
Formation energy (no corrections): 579 meV per atom
DOS(E_F): 3.5 states/eV/cell

The following is a DFT calculation (GGA-PBE) of an optimized crystal structure of TaTlSbW2.

Cell lengths 4.9373, 4.9373, 5.0373 Å; angles 90.00, 90.00, 90.00 degrees
Fractional positions:
Ta  0.0000  0.0000  0.0000
Tl  0.5000  0.5000  0.0000
Sb  0.0000  0.0000  0.5000
W  0.0000  0.5000  0.5000
W  0.5000  0.0000  0.5000

Results
Spin magnetization: 0.000 Bohr magnetons per cell
Space-group type: P4/mmm
Formation energy (no corrections): 2238 meV per atom
DOS(E_F): 6.4 states/eV/cell

The following is a DFT calculation (GGA-PBE) of an optimized crystal structure of TaTlSb2W.

Cell lengths 5.2384, 5.2384, 5.1145 Å; angles 90.00, 90.00, 90.00 degrees
Fractional positions:
Ta  0.0000  0.0000  0.0000
Tl  0.5000  0.5000  0.0000
Sb  0.0000  0.5000  0.5000
Sb  0.5000  0.0000  0.5000
W  0.0000  0.0000  0.5000

Results
Spin magnetization: 0.706 Bohr magnetons per cell
Space-group type: P4/mmm
Formation energy (no corrections): 995 meV per atom
DOS(E_F): 5.2 states/eV/cell

The following is a DFT calculation (GGA-PBE) of an optimized crystal structure of TaTl2SbW.

Cell lengths 5.4841, 5.4841, 5.2873 Å; angles 90.00, 90.00, 90.00 degrees
Fractional positions:
Ta  0.0000  0.0000  0.0000
Tl  0.0000  0.5000  0.0000
Tl  0.5000  0.0000  0.0000
Sb  0.0000  0.0000  0.5000
W  0.5000  0.5000  0.5000

Results
Spin magnetization: 4.517 Bohr magnetons per cell
Space-group type: P4/mmm
Formation energy (no corrections): 1694 meV per atom
DOS(E_F): 3.3 states/eV/cell

The following is a DFT calculation (GGA-PBE) of an optimized crystal structure of TmTaSb.

Cell lengths 4.1137, 4.1137, 8.0650 Å; angles 90.00, 90.00, 90.00 degrees
Fractional positions:
Tm  0.2500  0.2500  0.1420
Tm  0.7500  0.7500  0.8580
Ta  0.2500  0.7500  0.5000
Ta  0.7500  0.2500  0.5000
Sb  0.2500  0.2500  0.7570
Sb  0.7500  0.7500  0.2430

Results
Spin magnetization: 0.000 Bohr magnetons per cell
Space-group type: P4/nmm
Formation energy (no corrections): -514 meV per atom
DOS(E_F): 3.0 states/eV/cell

The following is a DFT calculation (GGA-PBE) of an optimized crystal structure of Ta3VSb.

Cell lengths 4.9885, 4.9885, 4.9885 Å; angles 90.00, 90.00, 90.00 degrees
Fractional positions:
Ta  0.0000  0.0000  0.5000
Ta  0.0000  0.5000  0.0000
Ta  0.5000  0.0000  0.0000
V  0.5000  0.5000  0.5000
Sb  0.0000  0.0000  0.0000

Results
Spin magnetization: 1.889 Bohr magnetons per cell
Excess energy over the best structure of this formula in the dataset: 987 meV per atom
Space-group type: Pm-3m
Formation energy (no corrections): 1984 meV per atom
DOS(E_F): 8.2 states/eV/cell

The following is a DFT calculation (GGA-PBE) of an optimized crystal structure of Ta2V2Sb.

Cell lengths 8.2124, 8.2124, 8.2124 Å; angles 155.95, 155.95, 34.27 degrees
Fractional positions:
Ta  0.1115  0.1115  0.0000
Ta  0.8885  0.8885  0.0000
V  0.2500  0.7500  0.5000
V  0.7500  0.2500  0.5000
Sb  0.5000  0.5000  0.0000

Results
Spin magnetization: 0.000 Bohr magnetons per cell
Excess energy over the best structure of this formula in the dataset: 20 meV per atom
Space-group type: I4/mmm
Formation energy (no corrections): 522 meV per atom
DOS(E_F): 6.7 states/eV/cell

The following is a DFT calculation (GGA-PBE) of an optimized crystal structure of Ta3VSb.

Cell lengths 4.7001, 4.7001, 4.7001 Å; angles 90.00, 90.00, 90.00 degrees
Fractional positions:
Ta  0.0000  0.0000  0.5000
Ta  0.0000  0.5000  0.0000
Ta  0.5000  0.0000  0.0000
V  0.0000  0.0000  0.0000
Sb  0.5000  0.5000  0.5000

Results
Spin magnetization: 0.000 Bohr magnetons per cell
Excess energy over the best structure of this formula in the dataset: 0 meV per atom
Space-group type: Pm-3m
Formation energy (no corrections): 998 meV per atom
DOS(E_F): 4.2 states/eV/cell

The following is a DFT calculation (GGA-PBE) of an optimized crystal structure of Ta3V8Sb.

Cell lengths 5.0600, 5.0600, 8.2570 Å; angles 90.00, 90.00, 120.00 degrees
Fractional positions:
Ta  0.0000  0.0000  0.0000
Ta  0.0000  0.0000  0.3678
Ta  0.3333  0.6667  0.8803
V  0.0043  0.5021  0.1838
V  0.3269  0.1635  0.6905
V  0.4979  0.5021  0.1838
V  0.4979  0.9957  0.1838
V  0.6667  0.3333  0.4329
V  0.6667  0.3333  0.9355
V  0.8365  0.1635  0.6905
V  0.8365  0.6731  0.6905
Sb  0.3333  0.6667  0.5026

Results
Spin magnetization: 0.000 Bohr magnetons per cell
Space-group type: P3m1
Formation energy (no corrections): -52 meV per atom
DOS(E_F): 13.5 states/eV/cell

The following is a DFT calculation (GGA-PBE) of an optimized crystal structure of Ta2V2Sb.

Cell lengths 7.4698, 7.4698, 3.2489 Å; angles 90.00, 90.00, 90.00 degrees
Fractional positions:
Ta  0.1186  0.3814  0.0000
Ta  0.3814  0.8814  0.0000
Ta  0.6186  0.1186  0.0000
Ta  0.8814  0.6186  0.0000
V  0.1909  0.6909  0.5000
V  0.3091  0.1909  0.5000
V  0.6909  0.8091  0.5000
V  0.8091  0.3091  0.5000
Sb  0.0000  0.0000  0.0000
Sb  0.5000  0.5000  0.0000

Results
Spin magnetization: 0.001 Bohr magnetons per cell
Excess energy over the best structure of this formula in the dataset: 0 meV per atom
Space-group type: P4/mbm
Formation energy (no corrections): 501 meV per atom
DOS(E_F): 11.4 states/eV/cell

The following is a DFT calculation (GGA-PBE) of an optimized crystal structure of TaVSb4.

Cell lengths 7.4326, 7.4326, 6.0313 Å; angles 113.79, 113.79, 27.13 degrees
Fractional positions:
Ta  0.0000  0.0000  0.0000
V  0.5000  0.5000  0.5000
Sb  0.1448  0.1448  0.4850
Sb  0.3528  0.3528  0.0279
Sb  0.6472  0.6472  0.9721
Sb  0.8552  0.8552  0.5150

Results
Spin magnetization: 0.000 Bohr magnetons per cell
Space-group type: C2/m
Formation energy (no corrections): 85 meV per atom
DOS(E_F): 2.6 states/eV/cell

The following is a DFT calculation (GGA-PBE) of an optimized crystal structure of ZrTaV2Sb.

Cell lengths 4.6027, 4.6027, 5.2471 Å; angles 90.00, 90.00, 90.00 degrees
Fractional positions:
Zr  0.0000  0.0000  0.0000
Ta  0.5000  0.5000  0.5000
V  0.0000  0.5000  0.5000
V  0.5000  0.0000  0.5000
Sb  0.5000  0.5000  0.0000

Results
Spin magnetization: 1.184 Bohr magnetons per cell
Space-group type: P4/mmm
Formation energy (no corrections): 1119 meV per atom
DOS(E_F): 6.9 states/eV/cell

The following is a DFT calculation (GGA-PBE) of an optimized crystal structure of Ta2SbW.

Cell lengths 4.7990, 4.7990, 3.3068 Å; angles 90.00, 90.00, 105.26 degrees
Fractional positions:
Ta  0.0000  0.5000  0.0000
Ta  0.5000  0.0000  0.0000
Sb  0.0000  0.0000  0.5000
W  0.5000  0.5000  0.5000

Results
Spin magnetization: 0.000 Bohr magnetons per cell
Space-group type: Cmmm
Formation energy (no corrections): 165 meV per atom
DOS(E_F): 3.0 states/eV/cell

The following is a DFT calculation (GGA-PBE) of an optimized crystal structure of Ta2SbW.

Cell lengths 2.9361, 4.6603, 5.4726 Å; angles 90.00, 93.89, 90.00 degrees
Fractional positions:
Ta  0.2158  0.0000  0.2337
Ta  0.7842  0.0000  0.7663
Sb  0.0000  0.5000  0.5000
W  0.5000  0.5000  0.0000

Results
Spin magnetization: 0.000 Bohr magnetons per cell
Space-group type: P2/m
Formation energy (no corrections): 262 meV per atom
DOS(E_F): 2.2 states/eV/cell

The following is a DFT calculation (GGA-PBE) of an optimized crystal structure of Ta2SbW.

Cell lengths 2.9502, 4.7268, 5.4783 Å; angles 90.00, 102.44, 90.00 degrees
Fractional positions:
Ta  0.0000  0.0000  0.0000
Ta  0.2405  0.5000  0.7302
Sb  0.6901  0.0000  0.4803
W  0.7268  0.5000  0.2035

Results
Spin magnetization: 0.000 Bohr magnetons per cell
Space-group type: Pm
Formation energy (no corrections): 234 meV per atom
DOS(E_F): 2.9 states/eV/cell

The following is a DFT calculation (GGA-PBE) of an optimized crystal structure of Ta2SbW.

Cell lengths 3.6112, 4.4858, 4.4926 Å; angles 90.00, 90.00, 90.00 degrees
Fractional positions:
Ta  0.0000  0.0000  0.0000
Ta  0.5000  0.0000  0.5000
Sb  0.0000  0.5000  0.5000
W  0.5000  0.5000  0.0000

Results
Spin magnetization: 0.000 Bohr magnetons per cell
Space-group type: Pmmm
Formation energy (no corrections): 212 meV per atom
DOS(E_F): 3.5 states/eV/cell

The following is a DFT calculation (GGA-PBE) of an optimized crystal structure of Ta2SbW.

Cell lengths 8.9119, 8.9119, 8.9119 Å; angles 20.62, 20.62, 20.62 degrees
Fractional positions:
Ta  0.0000  0.0000  0.0000
Ta  0.2488  0.2488  0.2488
Sb  0.4932  0.4932  0.4932
W  0.7426  0.7426  0.7426

Results
Spin magnetization: 0.000 Bohr magnetons per cell
Space-group type: R3m
Formation energy (no corrections): 412 meV per atom
DOS(E_F): 5.0 states/eV/cell

The following is a DFT calculation (GGA-PBE) of an optimized crystal structure of Ta2SbW.

Cell lengths 8.9233, 8.9233, 8.9233 Å; angles 20.65, 20.65, 20.65 degrees
Fractional positions:
Ta  0.2430  0.2430  0.2430
Ta  0.7570  0.7570  0.7570
Sb  0.0000  0.0000  0.0000
W  0.5000  0.5000  0.5000

Results
Spin magnetization: 0.000 Bohr magnetons per cell
Space-group type: R-3m
Formation energy (no corrections): 319 meV per atom
DOS(E_F): 4.5 states/eV/cell

Number 1: energy -20.0 eV per cell. Number 2: energy -22.2 eV per cell. Number 3: energy -21.9 eV per cell. Number 4: energy -33.1 eV per cell. Number 5: energy -30.4 eV per cell. Number 6: energy -25.2 eV per cell. Number 7: energy -44.0 eV per cell. Number 8: energy -38.9 eV per cell. Number 9: energy -43.5 eV per cell. Number 10: energy -43.8 eV per cell. Number 11: energy -113.3 eV per cell. Number 12: energy -87.1 eV per cell. Number 13: energy -37.0 eV per cell. Number 14: energy -37.2 eV per cell. Number 15: energy -40.1 eV per cell. Number 16: energy -39.7 eV per cell. Number 17: energy -39.8 eV per cell. Number 18: energy -39.9 eV per cell. Number 19: energy -39.1 eV per cell. Number 20: energy -39.5 eV per cell.